1.
Below is a geometry-optimized DyPu3Tl2O12 structure, with properties calculated at the GGA-PBE level.

Cell and atoms, written as POSCAR:
```
DyPu3Tl2O12
1.0
4.0178 2.3197 6.3189
-4.0178 2.3197 6.3189
0.0000 -4.6393 6.3189
Dy Pu Tl O
1 3 2 12
Direct
0.0000 0.0000 0.0000 Dy
0.0000 0.0000 0.5000 Pu
0.0000 0.5000 0.0000 Pu
0.5000 0.0000 0.0000 Pu
0.3212 0.3212 0.3212 Tl
0.6788 0.6788 0.6788 Tl
0.0500 0.6925 0.6925 O
0.0676 0.0676 0.6637 O
0.0676 0.6637 0.0676 O
0.3075 0.3075 0.9500 O
0.3075 0.9500 0.3075 O
0.3363 0.9324 0.9324 O
0.6637 0.0676 0.0676 O
0.6925 0.0500 0.6925 O
0.6925 0.6925 0.0500 O
0.9324 0.3363 0.9324 O
0.9324 0.9324 0.3363 O
0.9500 0.3075 0.3075 O
```

Properties
ΔE_f (raw) = -2.33 eV per atom
M_tot = 0.2778 μB/atom
Volume = 19.630 Å³ per atom
Crystal system = trigonal
Density = 7.03 g/cm3

2.
Below is a geometry-optimized MnInSi2 structure, with properties calculated at the GGA-PBE level.

Cell and atoms, written as POSCAR:
```
MnInSi2
1.0
3.7786 0.0000 0.0000
0.0000 4.1613 0.0000
-0.7668 0.0000 4.6729
Mn In Si
1 1 2
Direct
0.0000 0.0000 0.0000 Mn
0.5000 0.0000 0.5000 In
0.0200 0.5000 0.7518 Si
0.9800 0.5000 0.2482 Si
```

Properties
ΔE_f (raw) = 0.29 eV per atom
M_tot = 0.5396 μB/atom
Volume = 18.369 Å³ per atom
Crystal system = monoclinic
Density = 5.11 g/cm3

3.
Below is a geometry-optimized Ce2AlIr3 structure, with properties calculated at the GGA-PBE level.

Cell and atoms, written as POSCAR:
```
Ce2AlIr3
1.0
2.8240 1.6304 3.9891
-2.8240 1.6304 3.9891
0.0000 -3.2609 3.9891
Ce Al Ir
2 1 3
Direct
0.1231 0.1231 0.1231 Ce
0.8769 0.8769 0.8769 Ce
0.5000 0.5000 0.5000 Al
0.0000 0.5000 0.5000 Ir
0.5000 0.0000 0.5000 Ir
0.5000 0.5000 0.0000 Ir
```

Properties
Formation energy = -0.892 eV/atom
M_tot = 0.0000 μB/atom
Volume = 18.367 Å³ per atom
Crystal system = trigonal
Density = 13.32 g/cm3